The following is a PBE calculation of an optimized crystal structure of CeYTlGe, from the Alexandria database.

Cell and atoms, written as POSCAR:
```
CeYTlGe
1.0
-0.915 -4.801 -2.003
3.739 -2.441 -2.822
2.486 -4.212 1.994
Y Ce Tl Ge
1 1 1 1
direct
0.500 0.500 0.500
0.000 0.000 0.000
0.750 0.750 0.750
0.250 0.250 0.250
```

Calculated values
Its calculated total energy is -5.256 eV/atom. For the formation energy from the elements, the calculation gives -39.57 kJ per mole of atoms. The density of states at the Fermi level is 1.992 states/eV/atom. As for the space group: F-43m, No. 216. As for the total magnetization: 1.05 μB/f.u.

=====

The following is a PBE calculation of an optimized crystal structure of MnSnAu, from the Alexandria database.

Cell and atoms, written as POSCAR:
```
MnSnAu
1.0
4.507 0.000 0.000
2.254 3.904 0.000
2.254 1.301 3.680
Mn Au Sn
1 1 1
direct
0.500 0.500 0.500
0.750 0.750 0.750
0.000 0.000 0.000
```

Calculated values
Its calculated total energy is -5.521 eV/atom. For the formation energy from the elements, the calculation gives -3.67 kJ per mole of atoms. The density of states at the Fermi level is 0.560 states/eV/atom. As for the space group: F-43m, No. 216. As for the total magnetization: 4.13 μB/f.u.

=====

The following is a PBE calculation of an optimized crystal structure of PmNdSmDy, from the Alexandria database.

Cell and atoms, written as POSCAR:
```
PmNdSmDy
1.0
5.130 0.000 0.000
0.000 5.131 0.000
-2.565 -2.565 5.127
Sm Dy Pm Nd
1 1 1 1
direct
0.196 0.696 0.391
0.946 0.946 0.891
0.695 0.195 0.391
0.446 0.446 0.891
```

Calculated values
Its calculated total energy is -4.694 eV/atom. For the energy above the most stable polymorph in this dataset, the calculation gives 0.0000 eV/atom. For the formation energy from the elements, the calculation gives 1.49 kJ per mole of atoms. The density of states at the Fermi level is 1.450 states/eV/atom. As for the space group: I-4m2, No. 119. As for the total magnetization: 0.00 μB/f.u.